Entry 1:
LaIn4Ni: optimized geometry, PBE.

Unit cell a=6.0142 b=6.0142 c=6.0142 alpha=60.00 beta=60.00 gamma=60.00
With the nearest neighbours (Å) after each atom.
Positions (direct):
In: 0.3749 0.8754 0.3749  6 In 3.00-3.01
Ni: 0.0000 0.0000 0.0000  12 In 3.53, 4 La 3.68
In: 0.3749 0.3749 0.3749  6 In 3.00-3.01
In: 0.8754 0.3749 0.3749  6 In 3.00-3.01
In: 0.3749 0.3749 0.8754  6 In 3.00-3.01
La: 0.7500 0.7500 0.7500  12 In 3.53, 4 Ni 3.68

Summary:
Total DFT energy (no corrections) ... -3.475 eV/atom
Total magnetic moment ... 0.001 Bohr magnetons per cell
ΔH_f (0 K) ... 0.8 eV/f.u.
DOS at the Fermi energy ... 5.89 states/eV per cell
Volume ... 25.6 A^3/atom

=====

Entry 2:
GeBRuPt2: optimized geometry, PBE.

Unit cell a=4.5960 b=4.5911 c=4.5960 alpha=90.00 beta=90.00 gamma=90.00
With the nearest neighbours (Å) after each atom.
Positions (direct):
Pt: 0.5000 0.0000 0.0000  2 Ge 2.30
Pt: 0.0000 0.0000 0.5000  2 Ge 2.30
Ge: 0.0000 0.0000 0.0000  2 Ru 2.30, 4 Pt 2.30
B: 0.5000 0.5000 0.5000  8 Pt 3.25, 4 Ru 3.25
Ru: 0.0000 0.5000 0.0000  2 Ge 2.30

Summary:
Total DFT energy (no corrections) ... -4.915 eV/atom
Total magnetic moment ... 0.209 Bohr magnetons per cell
ΔH_f (0 K) ... 8.1 eV/f.u.
DOS at the Fermi energy ... 4.25 states/eV per cell
Volume ... 19.4 A^3/atom

=====

Entry 3:
AcSnH: optimized geometry, PBE.

Unit cell a=5.4395 b=4.0788 c=4.0788 alpha=120.00 beta=90.00 gamma=90.00
With the nearest neighbours (Å) after each atom.
Positions (direct):
Sn: 0.6665 0.3333 0.6667  6 H 3.60, 6 Ac 3.60
H: 0.1670 0.0000 0.0000  3 Ac 2.35
Ac: 0.1665 0.6667 0.3333  3 H 2.35

Summary:
Total DFT energy (no corrections) ... -4.280 eV/atom
Total magnetic moment ... 0.000 Bohr magnetons per cell
DOS at the Fermi energy ... 1.09 states/eV per cell
Volume ... 26.1 A^3/atom
Polymorph energy (0 for the lowest one) ... 224 meV per atom

=====

Entry 4:
YScBe2: optimized geometry, PBE.

Unit cell a=5.3310 b=5.3310 c=5.3310 alpha=136.02 beta=136.02 gamma=63.95
With the nearest neighbours (Å) after each atom.
Positions (direct):
Be: 0.2500 0.7500 0.5000  4 Y 2.82, 4 Be 3.02, 4 Sc 3.02
Be: 0.0000 0.0000 0.0000  4 Sc 2.82, 4 Be 3.02, 4 Y 3.02
Y: 0.7500 0.2500 0.5000  8 Be 2.82-3.02, 4 Sc 3.02
Sc: 0.5000 0.5000 0.0000  8 Be 2.82-3.02, 4 Y 3.02

Summary:
Total DFT energy (no corrections) ... -4.719 eV/atom
Total magnetic moment ... 0.000 Bohr magnetons per cell
ΔH_f (0 K) ... 1.4 eV/f.u.
DOS at the Fermi energy ... 2.74 states/eV per cell
Volume ... 18.0 A^3/atom
Polymorph energy (0 for the lowest one) ... 318 meV per atom

=====

Entry 5:
PaGaTe4: optimized geometry, PBE.

Unit cell a=7.3527 b=7.2004 c=7.2270 alpha=90.00 beta=96.90 gamma=90.00
With the nearest neighbours (Å) after each atom.
Positions (direct):
Te: 0.1649 0.3050 0.7975  1 Ga 2.73, 2 Pa 2.98-3.05
Te: 0.2440 0.7853 0.7116  2 Ga 2.99-3.02, 2 Pa 3.29-3.34
Te: 0.2560 0.2853 0.2884  2 Ga 2.99-3.02, 2 Pa 3.29-3.34
Ga: 0.5000 0.0000 0.5000  6 Te 2.73-3.02
Te: 0.6649 0.1950 0.7975  1 Ga 2.73, 2 Pa 2.98-3.05
Ga: 0.0000 0.5000 0.5000  6 Te 2.73-3.02
Te: 0.3351 0.8050 0.2025  1 Ga 2.73, 2 Pa 2.98-3.05
Te: 0.7440 0.7147 0.7116  2 Ga 2.99-3.02, 2 Pa 3.29-3.34
Pa: 0.0000 0.0000 0.0000  6 Te 2.98-3.29
Te: 0.7560 0.2147 0.2884  2 Ga 2.99-3.02, 2 Pa 3.29-3.34
Pa: 0.5000 0.5000 0.0000  6 Te 2.98-3.29
Te: 0.8351 0.6950 0.2025  1 Ga 2.73, 2 Pa 2.98-3.05

Summary:
Total DFT energy (no corrections) ... -4.603 eV/atom
Total magnetic moment ... 0.000 Bohr magnetons per cell
DOS at the Fermi energy ... 2.72 states/eV per cell
Energy relative to the elements, uncorrected ... -0.42 eV per atom
Volume ... 31.7 A^3/atom

=====

Entry 6:
In6AsO12: optimized geometry, PBE.

Unit cell a=6.2604 b=6.2604 c=6.2604 alpha=98.49 beta=98.49 gamma=98.49
With the nearest neighbours (Å) after each atom.
Positions (direct):
O: 0.1755 0.4260 0.5974  4 In 2.09-2.29
In: 0.1382 0.6072 0.3075  5 O 2.09-2.29
O: 0.0733 0.9654 0.2939  1 As 1.88
O: 0.5740 0.4026 0.8245  4 In 2.09-2.29
In: 0.3928 0.6925 0.8618  5 O 2.09-2.29
O: 0.2939 0.0733 0.9654  1 As 1.88
O: 0.4026 0.8245 0.5740  4 In 2.09-2.29
In: 0.6925 0.8618 0.3928  5 O 2.09-2.29
In: 0.6072 0.3075 0.1382  5 O 2.09-2.29
O: 0.8245 0.5740 0.4026  4 In 2.09-2.29
O: 0.4260 0.5974 0.1755  4 In 2.09-2.29
O: 0.9267 0.0346 0.7061  1 As 1.88
As: 0.0000 0.0000 0.0000  6 O 1.88
O: 0.0346 0.7061 0.9267  1 As 1.88
O: 0.9654 0.2939 0.0733  1 As 1.88
O: 0.7061 0.9267 0.0346  1 As 1.88
In: 0.8618 0.3928 0.6925  5 O 2.09-2.29
O: 0.5974 0.1755 0.4260  4 In 2.09-2.29
In: 0.3075 0.1382 0.6072  5 O 2.09-2.29

Summary:
Total DFT energy (no corrections) ... -5.640 eV/atom
Total magnetic moment ... 1.139 Bohr magnetons per cell
DOS at the Fermi energy ... 15.31 states/eV per cell
Energy relative to the elements, uncorrected ... -1.40 eV per atom
Volume ... 12.4 A^3/atom

=====

Entry 7:
MnAsSeBr2: optimized geometry, PBE.

Unit cell a=5.2082 b=5.2082 c=5.2910 alpha=90.00 beta=90.00 gamma=90.00
With the nearest neighbours (Å) after each atom.
Positions (direct):
Mn: 0.5000 0.5000 0.5000  4 Se 3.68, 8 Br 3.71
Br: 0.0000 0.5000 0.0000  2 As 2.60
As: 0.0000 0.0000 0.0000  4 Br 2.60, 2 Se 2.65
Se: 0.0000 0.0000 0.5000  2 As 2.65
Br: 0.5000 0.0000 0.0000  2 As 2.60

Summary:
Total DFT energy (no corrections) ... -3.782 eV/atom
Total magnetic moment ... 5.443 Bohr magnetons per cell
DOS at the Fermi energy ... 3.29 states/eV per cell
Energy relative to the elements, uncorrected ... 0.35 eV per atom
Volume ... 28.7 A^3/atom
Polymorph energy (0 for the lowest one) ... 26 meV per atom

=====

Entry 8:
Dy4TlPbO: optimized geometry, PBE.

Unit cell a=6.4923 b=6.4796 c=9.1077 alpha=90.00 beta=110.88 gamma=90.00
With the nearest neighbours (Å) after each atom.
Positions (direct):
Pb: 0.3914 0.2500 0.7829  9 Dy 3.27-3.32
Dy: 0.5833 0.2500 0.1666  1 O 2.41
Dy: 0.5000 0.5000 0.5000  2 O 2.33
Dy: 0.9324 0.2500 0.8647  3 Tl 3.08-3.33, 2 Pb 3.32
Pb: 0.6086 0.7500 0.2171  9 Dy 3.27-3.32
Tl: 0.8868 0.7500 0.7737  9 Dy 3.08-3.33
O: 0.2750 0.7500 0.5500  5 Dy 2.33-2.41
Dy: 0.4167 0.7500 0.8334  1 O 2.41
Dy: 0.0000 0.5000 0.5000  2 O 2.33
Dy: 0.0676 0.7500 0.1353  3 Tl 3.08-3.33, 2 Pb 3.32
Dy: 0.5000 0.0000 0.5000  2 O 2.33
Dy: 0.0000 0.0000 0.5000  2 O 2.33
Tl: 0.1132 0.2500 0.2263  9 Dy 3.08-3.33
O: 0.7250 0.2500 0.4500  5 Dy 2.33-2.41

Summary:
Total DFT energy (no corrections) ... -5.321 eV/atom
Total magnetic moment ... 0.000 Bohr magnetons per cell
DOS at the Fermi energy ... 8.15 states/eV per cell
Energy relative to the elements, uncorrected ... -1.11 eV per atom
Volume ... 25.6 A^3/atom

=====

Entry 9:
NdP2PtRh5: optimized geometry, PBE.

Unit cell a=3.9917 b=3.9917 c=10.2819 alpha=90.00 beta=90.00 gamma=90.00
With the nearest neighbours (Å) after each atom.
Positions (direct):
Pt: 0.0000 0.0000 0.0000  8 Rh 2.66
Rh: 0.0000 0.5000 0.1704  2 P 2.29
Rh: 0.0000 0.5000 0.8296  2 P 2.29
Rh: 0.5000 0.5000 0.5000  2 P 2.28
P: 0.5000 0.5000 0.2786  5 Rh 2.28-2.29
P: 0.5000 0.5000 0.7214  5 Rh 2.28-2.29
Rh: 0.5000 0.0000 0.1704  2 P 2.29
Nd: 0.0000 0.0000 0.5000  4 Rh 2.82
Rh: 0.5000 0.0000 0.8296  2 P 2.29

Summary:
Total DFT energy (no corrections) ... -6.961 eV/atom
Total magnetic moment ... 0.000 Bohr magnetons per cell
ΔH_f (0 K) ... -4.3 eV/f.u.
DOS at the Fermi energy ... 5.98 states/eV per cell
Volume ... 18.2 A^3/atom

=====

Entry 10:
Ag2Pt: optimized geometry, PBE.

Unit cell a=5.3099 b=5.3099 c=5.3099 alpha=60.00 beta=60.00 gamma=60.00
With the nearest neighbours (Å) after each atom.
Positions (direct):
Ag: 0.6250 0.1250 0.1250  6 Ag 2.65
Pt: 0.7500 0.7500 0.7500  12 Ag 3.11, 4 Pt 3.25
Ag: 0.1250 0.1250 0.1250  6 Ag 2.65
Ag: 0.1250 0.6250 0.1250  6 Ag 2.65
Pt: 0.5000 0.5000 0.5000  12 Ag 3.11, 4 Pt 3.25
Ag: 0.1250 0.1250 0.6250  6 Ag 2.65

Summary:
Total DFT energy (no corrections) ... -3.562 eV/atom
Total magnetic moment ... 0.000 Bohr magnetons per cell
ΔH_f (0 K) ... 1.1 eV/f.u.
DOS at the Fermi energy ... 2.42 states/eV per cell
Volume ... 17.6 A^3/atom
Polymorph energy (0 for the lowest one) ... 366 meV per atom

=====

Entry 11:
NpUGeIr: optimized geometry, PBE.

Unit cell a=4.7802 b=4.7802 c=4.7802 alpha=60.00 beta=60.00 gamma=60.00
With the nearest neighbours (Å) after each atom.
Positions (direct):
Ge: 0.2500 0.2500 0.2500  4 Np 2.93, 4 Ir 2.93
Np: 0.5000 0.5000 0.5000  4 U 2.93, 4 Ge 2.93
Ir: 0.0000 0.0000 0.0000  4 Ge 2.93, 4 U 2.93
U: 0.7500 0.7500 0.7500  4 Np 2.93, 4 Ir 2.93

Summary:
Total DFT energy (no corrections) ... -9.570 eV/atom
Total magnetic moment ... 7.374 Bohr magnetons per cell
ΔH_f (0 K) ... -0.6 eV/f.u.
DOS at the Fermi energy ... 6.76 states/eV per cell
Volume ... 19.3 A^3/atom

=====

Entry 12:
Hf2InH: optimized geometry, PBE.

Unit cell a=6.6296 b=6.6296 c=5.6767 alpha=54.27 beta=54.27 gamma=90.00
With the nearest neighbours (Å) after each atom.
Positions (direct):
Hf: 0.3750 0.4664 0.7500  2 H 2.12
H: 0.2500 0.7500 0.5000  4 Hf 2.12
Hf: 0.8750 0.7836 0.7500  2 H 2.12
In: 0.7500 0.2500 0.5000  8 Hf 2.92-3.10, 2 H 3.20
Hf: 0.5336 0.1250 0.2500  2 H 2.12
H: 0.5000 0.5000 0.0000  4 Hf 2.12
Hf: 0.2164 0.6250 0.2500  2 H 2.12
In: 0.0000 0.0000 0.0000  8 Hf 2.92-3.10, 2 H 3.20

Summary:
Total DFT energy (no corrections) ... -6.568 eV/atom
Total magnetic moment ... 0.000 Bohr magnetons per cell
DOS at the Fermi energy ... 8.69 states/eV per cell
Volume ... 17.6 A^3/atom
Polymorph energy (0 for the lowest one) ... 201 meV per atom